A relaxed CoBiP2F crystal, computed with PBE+U.

Structure (extended XYZ):
```
5
Lattice="4.5090 0.0000 0.0000 0.0000 4.5090 0.0000 0.0000 0.0000 4.7160" Properties=species:S:1:pos:R:3 pbc="T T T"
Co 0.0000 0.0000 0.0000
Bi 2.2545 2.2545 0.0000
P 0.0000 2.2545 2.3580
P 2.2545 0.0000 2.3580
F 2.2545 2.2545 2.3580
```

Calculated total energy = -18.23 eV/cell